Record 1
First-principles (GGA-PBE) data for a relaxed structure of Li2HgMo, as listed in the Alexandria database.

Unit cell a=5.0070 b=5.0070 c=5.2083 alpha=97.34 beta=97.34 gamma=31.75
Closest atoms and distances in Å follow each position.
Atoms (fractional coordinates):
Li 0.2467 0.2467 0.2647  4 Li 2.74-2.80, 3 Mo 2.82-2.92, 3 Hg 2.92-2.96
Li 0.7533 0.7533 0.7353  4 Li 2.74-2.80, 3 Mo 2.82-2.92, 3 Hg 2.92-2.96
Hg 0.5000 0.5000 0.0000  2 Hg 2.74, 6 Li 2.92-2.96, 4 Mo 2.94
Mo 0.0000 0.0000 0.5000  2 Mo 2.74, 6 Li 2.82-2.92, 4 Hg 2.94

Results
N(E_F): 1.92 states/eV/f.u.
VASP energy: -13.71 eV per formula unit

***

Record 2
First-principles (GGA-PBE) data for a relaxed structure of LiHgMo, as listed in the Alexandria database.

Unit cell a=2.8652 b=2.8652 c=7.4023 alpha=90.00 beta=90.00 gamma=120.00
Closest atoms and distances in Å follow each position.
Atoms (fractional coordinates):
Li 0.0000 0.0000 0.0000  6 Li 2.87, 3 Mo 2.92, 3 Hg 2.93
Hg 0.3333 0.6667 0.6735  6 Hg 2.87, 3 Li 2.93, 3 Mo 3.06
Mo 0.6667 0.3333 0.3253  6 Mo 2.87, 3 Li 2.92, 3 Hg 3.06

Results
relative energy among the computed polymorphs: 1.20 kcal/mol of atoms
N(E_F): 3.24 states/eV/f.u.
VASP energy: -11.75 eV per formula unit

***

Record 3
First-principles (GGA-PBE) data for a relaxed structure of Li2HgMo, as listed in the Alexandria database.

Unit cell a=5.1007 b=5.1007 c=5.1849 alpha=97.86 beta=97.86 gamma=30.98
Closest atoms and distances in Å follow each position.
Atoms (fractional coordinates):
Li 0.0000 0.0000 0.0000  5 Li 2.72-2.96, 4 Hg 2.93, 1 Mo 2.98
Li 0.2428 0.2428 0.7776  5 Li 2.72-2.96, 2 Hg 2.89, 4 Mo 2.93-2.94
Hg 0.5059 0.5059 0.5019  2 Hg 2.72, 3 Mo 2.86-2.89, 6 Li 2.89-2.93
Mo 0.7569 0.7569 0.2827  2 Mo 2.72, 3 Hg 2.86-2.89, 5 Li 2.93-2.98

Results
N(E_F): 2.54 states/eV/f.u.
VASP energy: -13.46 eV per formula unit

***

Record 4
First-principles (GGA-PBE) data for a relaxed structure of Li2HgMo, as listed in the Alexandria database.

Unit cell a=2.6725 b=4.7721 c=5.3163 alpha=90.00 beta=92.28 gamma=90.00
Closest atoms and distances in Å follow each position.
Atoms (fractional coordinates):
Li 0.1591 0.0000 0.2269  3 Li 2.53-2.67
Li 0.8409 0.0000 0.7731  3 Li 2.53-2.67
Hg 0.0000 0.5000 0.5000  2 Hg 2.67, 4 Li 2.83, 2 Mo 2.93
Mo 0.5000 0.5000 0.0000  2 Mo 2.67, 4 Li 2.84, 2 Hg 2.93

Results
N(E_F): 2.52 states/eV/f.u.
VASP energy: -13.74 eV per formula unit

***

Record 5
First-principles (GGA-PBE) data for a relaxed structure of LiHg3Mo, as listed in the Alexandria database.

Unit cell a=4.6474 b=4.6474 c=4.6474 alpha=90.00 beta=90.00 gamma=90.00
Closest atoms and distances in Å follow each position.
Atoms (fractional coordinates):
Li 0.0000 0.0000 0.0000  6 Hg 2.32
Hg 0.0000 0.0000 0.5000  2 Li 2.32
Hg 0.0000 0.5000 0.0000  2 Li 2.32
Hg 0.5000 0.0000 0.0000  2 Li 2.32
Mo 0.5000 0.5000 0.5000  12 Hg 3.29

Results
relative energy among the computed polymorphs: 4.39 kcal/mol of atoms
N(E_F): 3.67 states/eV/f.u.
VASP energy: -9.45 eV per formula unit

***

Record 6
First-principles (GGA-PBE) data for a relaxed structure of Li2HgMo, as listed in the Alexandria database.

Unit cell a=9.9833 b=9.9833 c=9.9833 alpha=16.41 beta=16.41 gamma=16.41
Closest atoms and distances in Å follow each position.
Atoms (fractional coordinates):
Li 0.2478 0.2478 0.2478  6 Li 2.85, 3 Mo 2.91, 3 Hg 3.01
Li 0.7522 0.7522 0.7522  6 Li 2.85, 3 Mo 2.91, 3 Hg 3.01
Hg 0.0000 0.0000 0.0000  6 Hg 2.85, 6 Li 3.01
Mo 0.5000 0.5000 0.5000  6 Mo 2.85, 6 Li 2.91

Results
N(E_F): 3.05 states/eV/f.u.
VASP energy: -13.94 eV per formula unit

***

ΔE_f (meV per atom)
313, 433, 376, 306, 841, 255